# 1
Density functional theory data (GGA-PBE) for crystalline TiInTcGe2 at its relaxed geometry.

a b c (Å): 4.8409 4.8409 5.2442
angles (deg): 90.00 90.00 90.00
Fractional positions:
1 Ti 0.0000 0.0000 0.0000
2 In 0.0000 0.0000 0.5000
3 Tc 0.5000 0.5000 0.5000
4 Ge 0.0000 0.5000 0.0000
5 Ge 0.5000 0.0000 0.0000

Summary:
Formation energy (eV/atom): 1.07
Size of the total moment (μB/f.u.): 4.07
Calculated volume (A^3/atom): 24.58

# 2
Density functional theory data (GGA-PBE) for crystalline InTcGe2W at its relaxed geometry.

a b c (Å): 4.9160 4.9160 4.9012
angles (deg): 90.00 90.00 90.00
Fractional positions:
1 In 0.0000 0.0000 0.0000
2 Tc 0.5000 0.5000 0.0000
3 Ge 0.0000 0.5000 0.5000
4 Ge 0.5000 0.0000 0.5000
5 W 0.5000 0.5000 0.5000

Summary:
Formation energy (eV/atom): 0.97
Size of the total moment (μB/f.u.): 1.39
Calculated volume (A^3/atom): 23.69

no.,ρ (g/cm³)
1,5.49
2,7.60